1.
{"formula": "CaLa5Tl4", "functional": "GGA-PBE", "state": "relaxed", "lattice": [[3.989, 0.000, 0.000], [0.000, 3.989, 0.000], [0.000, 0.000, 20.837]], "species": ["Ca", "La", "La", "La", "La", "La", "Tl", "Tl", "Tl", "Tl"], "frac_coords": [[0.000, 0.000, 0.000], [0.500, 0.500, 0.120], [0.500, 0.500, 0.308], [0.500, 0.500, 0.500], [0.500, 0.500, 0.692], [0.500, 0.500, 0.880], [0.000, 0.000, 0.210], [0.000, 0.000, 0.404], [0.000, 0.000, 0.596], [0.000, 0.000, 0.790]], "final_energy_ev_per_atom": -3.919}

***

2.
{"formula": "Pm2PrPb", "functional": "GGA-PBE", "state": "relaxed", "lattice": [[4.291, 0.000, 0.000], [0.000, 4.291, 0.000], [0.000, 0.000, 6.981]], "species": ["Pm", "Pm", "Pr", "Pb"], "frac_coords": [[0.000, 0.000, 0.227], [0.000, 0.000, 0.773], [0.500, 0.500, 0.500], [0.500, 0.500, 0.000]], "final_energy_ev_per_atom": -4.736}

***

3.
{"formula": "AlInAg3", "functional": "GGA-PBE", "state": "relaxed", "lattice": [[5.232, 0.000, 0.000], [0.000, 5.232, 0.000], [0.000, 0.000, 5.232]], "species": ["Al", "In", "Ag", "Ag", "Ag"], "frac_coords": [[0.000, 0.000, 0.000], [0.500, 0.500, 0.500], [0.000, 0.500, 0.500], [0.500, 0.000, 0.500], [0.500, 0.500, 0.000]], "final_energy_ev_per_atom": -2.290}

***

4.
{"formula": "Pm6Ag2Ir", "functional": "GGA-PBE", "state": "relaxed", "lattice": [[-4.889, 5.024, 5.134], [4.889, -5.024, 5.134], [4.889, 5.024, -5.134]], "species": ["Pm", "Pm", "Pm", "Pm", "Pm", "Pm", "Pm", "Pm", "Pm", "Pm", "Pm", "Pm", "Ag", "Ag", "Ag", "Ag", "Ir", "Ir"], "frac_coords": [[0.082, 0.249, 0.833], [0.225, 0.559, 0.333], [0.225, 0.892, 0.667], [0.318, 0.236, 0.553], [0.318, 0.764, 0.082], [0.415, 0.249, 0.167], [0.585, 0.751, 0.833], [0.682, 0.236, 0.918], [0.682, 0.764, 0.447], [0.775, 0.108, 0.333], [0.775, 0.441, 0.667], [0.918, 0.751, 0.167], [0.000, 0.138, 0.138], [0.000, 0.862, 0.862], [0.144, 0.500, 0.644], [0.856, 0.500, 0.356], [0.500, 0.000, 0.500], [0.500, 0.500, 0.000]], "final_energy_ev_per_atom": -5.032}